An optimized crystal structure of KMn2O6, computed with PBE+U.

Cell: 2.731 6.866 6.866 Å, 120.00 90.00 90.00°
Element x y z (fractional)
Mn  0.491  0.667  0.333
Mn  0.509  0.333  0.667
O  0.009  0.565  0.783
O  0.009  0.217  0.783
O  0.991  0.783  0.565
O  0.009  0.217  0.435
O  0.991  0.783  0.217
O  0.991  0.435  0.217
K  0.500  0.000  0.000

Properties
Total energy: -5.806 eV/atom